No. 1
Here is an optimized crystal structure of LiHoO2 from Alexandria. Energies are from PBE.

Unit cell a=2.882 b=2.882 c=5.729 alpha=90.00 beta=90.00 gamma=90.00
Positions (direct):
Li 0.000 0.000 0.000
Ho 0.000 0.000 0.500
O 0.500 0.500 0.277
O 0.500 0.500 0.723

Output
DOS at the Fermi energy: 0.0 states/eV/cell
raw total energy: -25.500 eV per formula unit
calculated density: 7.1 Mg/m³

No. 2
Here is an optimized crystal structure of LiHoO2 from Alexandria. Energies are from PBE.

Unit cell a=6.201 b=6.160 c=6.280 alpha=90.00 beta=119.52 gamma=90.00
Positions (direct):
Li 0.210 0.154 0.438
Li 0.210 0.346 0.938
Li 0.790 0.654 0.062
Li 0.790 0.846 0.562
Ho 0.266 0.630 0.521
Ho 0.266 0.870 0.021
Ho 0.734 0.130 0.979
Ho 0.734 0.370 0.479
O 0.047 0.609 0.735
O 0.047 0.891 0.235
O 0.491 0.170 0.157
O 0.491 0.330 0.657
O 0.509 0.670 0.343
O 0.509 0.830 0.843
O 0.953 0.109 0.765
O 0.953 0.391 0.265

Output
DOS at the Fermi energy: 0.0 states/eV/cell
raw total energy: -28.221 eV per formula unit
calculated density: 6.5 Mg/m³

No. 3
Here is an optimized crystal structure of LiHoO2 from Alexandria. Energies are from PBE.

Unit cell a=3.337 b=3.337 c=16.602 alpha=90.00 beta=90.00 gamma=120.00
Positions (direct):
Li 0.000 0.000 0.000
Li 0.333 0.667 0.667
Li 0.667 0.333 0.333
Ho 0.000 0.000 0.815
Ho 0.333 0.667 0.482
Ho 0.667 0.333 0.149
O 0.000 0.000 0.215
O 0.000 0.000 0.403
O 0.333 0.667 0.070
O 0.333 0.667 0.882
O 0.667 0.333 0.549
O 0.667 0.333 0.737

Output
DOS at the Fermi energy: 0.0 states/eV/cell
raw total energy: -27.498 eV per formula unit
calculated density: 6.3 Mg/m³

No. 4
Here is an optimized crystal structure of LiHo3O from Alexandria. Energies are from PBE.

Unit cell a=4.779 b=4.779 c=4.779 alpha=90.00 beta=90.00 gamma=90.00
Positions (direct):
Li 0.000 0.000 0.000
Ho 0.000 0.500 0.500
Ho 0.500 0.000 0.500
Ho 0.500 0.500 0.000
O 0.500 0.500 0.500

Output
DOS at the Fermi energy: 5.6 states/eV/cell
raw total energy: -25.785 eV per formula unit
calculated density: 7.9 Mg/m³

No. 5
Here is an optimized crystal structure of LiHoOs2O8 from Alexandria. Energies are from PBE.

Unit cell a=6.667 b=6.667 c=6.667 alpha=134.42 beta=134.42 gamma=66.43
Positions (direct):
Li 0.000 0.000 0.000
Ho 0.250 0.750 0.500
Os 0.500 0.500 0.000
Os 0.750 0.250 0.500
O 0.007 0.083 0.425
O 0.247 0.664 0.082
O 0.336 0.418 0.583
O 0.418 0.993 0.076
O 0.582 0.165 0.918
O 0.659 0.582 0.575
O 0.835 0.753 0.417
O 0.917 0.341 0.924

Output
DOS at the Fermi energy: 6.5 states/eV/cell
raw total energy: -86.929 eV per formula unit
calculated density: 7.6 Mg/m³

No. 6
Here is an optimized crystal structure of Li2HoOsO6 from Alexandria. Energies are from PBE.

Unit cell a=5.330 b=5.528 c=9.431 alpha=90.00 beta=124.26 gamma=90.00
Positions (direct):
Li 0.233 0.014 0.244
Li 0.233 0.486 0.744
Li 0.767 0.514 0.256
Li 0.767 0.986 0.756
Ho 0.000 0.000 0.500
Ho 0.000 0.500 0.000
Os 0.500 0.000 0.000
Os 0.500 0.500 0.500
O 0.152 0.057 0.772
O 0.152 0.443 0.272
O 0.253 0.655 0.558
O 0.253 0.845 0.058
O 0.426 0.201 0.569
O 0.426 0.299 0.069
O 0.574 0.701 0.931
O 0.574 0.799 0.431
O 0.747 0.155 0.942
O 0.747 0.345 0.442
O 0.848 0.557 0.728
O 0.848 0.943 0.228

Output
DOS at the Fermi energy: 7.4 states/eV/cell
raw total energy: -68.666 eV per formula unit
calculated density: 6.7 Mg/m³

No. 7
Here is an optimized crystal structure of LiHo2OsO6 from Alexandria. Energies are from PBE.

Unit cell a=5.814 b=5.814 c=5.814 alpha=56.43 beta=56.43 gamma=56.43
Positions (direct):
Li 0.000 0.000 0.000
Ho 0.229 0.229 0.229
Ho 0.735 0.735 0.735
Os 0.529 0.529 0.529
O 0.175 0.417 0.784
O 0.320 0.888 0.642
O 0.417 0.784 0.175
O 0.642 0.320 0.888
O 0.784 0.175 0.417
O 0.888 0.642 0.320

Output
raw total energy: -76.323 eV per formula unit
calculated density: 8.1 Mg/m³

No. 8
Here is an optimized crystal structure of LiHo2PO6 from Alexandria. Energies are from PBE.

Unit cell a=5.014 b=5.014 c=4.444 alpha=90.00 beta=90.00 gamma=90.00
Positions (direct):
Li 0.000 0.000 0.000
Ho 0.000 0.500 0.442
Ho 0.500 0.000 0.442
P 0.500 0.500 0.029
O 0.000 0.000 0.567
O 0.274 0.274 0.126
O 0.274 0.726 0.126
O 0.500 0.500 0.668
O 0.726 0.274 0.126
O 0.726 0.726 0.126

Output
DOS at the Fermi energy: 0.0 states/eV/cell
raw total energy: -73.693 eV per formula unit
calculated density: 6.9 Mg/m³

No. 9
Here is an optimized crystal structure of LiHo2PaO6 from Alexandria. Energies are from PBE.

Unit cell a=6.046 b=6.046 c=6.046 alpha=57.18 beta=57.18 gamma=57.18
Positions (direct):
Li 0.000 0.000 0.000
Ho 0.274 0.274 0.274
Ho 0.778 0.778 0.778
Pa 0.486 0.486 0.486
O 0.100 0.663 0.398
O 0.189 0.574 0.874
O 0.398 0.100 0.663
O 0.574 0.874 0.189
O 0.663 0.398 0.100
O 0.874 0.189 0.574

Output
DOS at the Fermi energy: 0.0 states/eV/cell
raw total energy: -83.267 eV per formula unit
calculated density: 7.5 Mg/m³

No. 10
Here is an optimized crystal structure of LiHoPaO4 from Alexandria. Energies are from PBE.

Unit cell a=6.859 b=6.859 c=6.859 alpha=121.67 beta=117.81 gamma=90.49
Positions (direct):
Li 0.361 0.111 0.250
Li 0.639 0.889 0.750
Ho 0.000 0.000 0.500
Ho 0.000 0.500 0.000
Pa 0.000 0.500 0.500
Pa 0.500 0.500 0.000
O 0.195 0.729 0.466
O 0.237 0.271 0.966
O 0.238 0.264 0.526
O 0.238 0.712 0.974
O 0.762 0.288 0.026
O 0.762 0.736 0.474
O 0.763 0.729 0.034
O 0.805 0.271 0.534

Output
DOS at the Fermi energy: 5.5 states/eV/cell
raw total energy: -56.956 eV per formula unit
calculated density: 6.8 Mg/m³

No. 11
Here is an optimized crystal structure of LiHo3Pb2O from Alexandria. Energies are from PBE.

Unit cell a=4.418 b=4.582 c=16.055 alpha=90.00 beta=90.00 gamma=90.00
Positions (direct):
Li 0.000 0.000 0.000
Li 0.500 0.500 0.500
Ho 0.000 0.000 0.500
Ho 0.000 0.500 0.342
Ho 0.000 0.500 0.658
Ho 0.500 0.000 0.158
Ho 0.500 0.000 0.842
Ho 0.500 0.500 0.000
Pb 0.000 0.500 0.143
Pb 0.000 0.500 0.857
Pb 0.500 0.000 0.357
Pb 0.500 0.000 0.643
O 0.000 0.500 0.500
O 0.500 0.000 0.000

Output
DOS at the Fermi energy: 2.0 states/eV/cell
raw total energy: -36.366 eV per formula unit
calculated density: 9.5 Mg/m³

No. 12
Here is an optimized crystal structure of LiHo2PtO6 from Alexandria. Energies are from PBE.

Unit cell a=5.305 b=5.736 c=9.167 alpha=90.00 beta=124.20 gamma=90.00
Positions (direct):
Li 0.000 0.000 0.000
Li 0.000 0.500 0.500
Ho 0.222 0.083 0.747
Ho 0.222 0.417 0.247
Ho 0.778 0.583 0.753
Ho 0.778 0.917 0.253
Pt 0.500 0.000 0.500
Pt 0.500 0.500 0.000
O 0.129 0.185 0.440
O 0.129 0.315 0.940
O 0.261 0.701 0.435
O 0.261 0.799 0.935
O 0.379 0.045 0.252
O 0.379 0.455 0.752
O 0.621 0.545 0.248
O 0.621 0.955 0.748
O 0.739 0.201 0.065
O 0.739 0.299 0.565
O 0.871 0.685 0.060
O 0.871 0.815 0.560

Output
DOS at the Fermi energy: 14.8 states/eV/cell
raw total energy: -69.623 eV per formula unit
calculated density: 9.0 Mg/m³